No. 1
AsP3Pb: optimized geometry, PBE.

Results
Size of the total moment, μB/atom: 0.000
Space group: No. 221
Calculated volume, Å³/atom: 22.14
DFT total energy, eV/atom: -4.18
ΔE_f, eV/f.u.: 3.7

a b c (Å): 4.802 4.802 4.802
angles (deg): 90.00 90.00 90.00
Fractional positions:
As 0.000 0.000 0.000
P 0.000 0.000 0.500
P 0.000 0.500 0.000
P 0.500 0.000 0.000
Pb 0.500 0.500 0.500


No. 2
TiCoCuPd: optimized geometry, PBE.

Results
Size of the total moment, μB/atom: 0.000
Space group: No. 216
Calculated volume, Å³/atom: 13.31
DFT total energy, eV/atom: -6.35
ΔE_f, eV/f.u.: -1.1

a b c (Å): 4.223 4.223 4.223
angles (deg): 60.00 60.00 60.00
Fractional positions:
Ti 0.000 0.000 0.000
Co 0.750 0.750 0.750
Cu 0.500 0.500 0.500
Pd 0.250 0.250 0.250